Record 1
## K2CrAgS4 (GGA-PBE)

Data for an optimized crystal structure of K2CrAgS4.

## Properties
Raw formation energy   -0.73 eV per atom
Theoretical density   2.83 g/cm3
Spin magnetization   1.00 μB/f.u.
Fermi-level density of states   4.2 states/eV/f.u.
Space group   No. 70
Crystal system   orthorhombic

a b c (Å): 5.7975 7.0902 11.8270
angles (deg): 84.25 75.81 65.87
Each line ends with the local moment (μB).
Atoms (fractional coordinates):
Ag1 0.0000 0.0000 0.0000  -0.01
S1 0.5479 0.1989 0.1114  -0.04
Ag2 0.7500 0.5000 0.5000  -0.01
K1 0.9301 0.5000 0.1398  0.00
K2 0.8199 0.0000 0.3602  0.00
Cr1 0.5000 0.0000 0.0000  1.13
S2 0.4968 0.3011 0.6114  -0.04
S3 0.8918 0.6989 0.6114  -0.04
S4 0.2021 0.3011 0.3886  -0.04
K3 0.5699 0.5000 0.8602  0.00
S5 0.3407 0.8011 0.1114  -0.04
S6 0.2532 0.1989 0.8886  -0.04
S7 0.4093 0.6989 0.3886  -0.04
Cr2 0.2500 0.5000 0.5000  1.13
S8 0.8582 0.8011 0.8886  -0.04
K4 0.1801 0.0000 0.6398  0.00

Record 2
## KCrAg2S4 (GGA-PBE)

Data for an optimized crystal structure of KCrAg2S4.

## Properties
Raw formation energy   -0.47 eV per atom
Theoretical density   3.83 g/cm3
Spin magnetization   1.00 μB/f.u.
Fermi-level density of states   3.3 states/eV/f.u.
Space group   No. 121
Crystal system   tetragonal

a b c (Å): 6.6142 6.3609 6.3609
angles (deg): 85.33 58.67 58.67
Each line ends with the local moment (μB).
Atoms (fractional coordinates):
K1 0.0000 0.0000 0.0000  0.00
S1 0.3732 0.1687 0.4581  -0.05
S2 0.0000 0.4581 0.1687  -0.05
Ag1 0.5000 0.2500 0.7500  -0.02
S3 0.0000 0.8313 0.5419  -0.05
Cr1 0.0000 0.5000 0.5000  1.17
S4 0.6268 0.5419 0.8313  -0.05
Ag2 0.5000 0.7500 0.2500  -0.02

Record 3
## KCrAg2Sb (GGA-PBE)

Data for an optimized crystal structure of KCrAg2Sb.

## Properties
Raw formation energy   0.39 eV per atom
Theoretical density   4.56 g/cm3
Spin magnetization   4.20 μB/f.u.
Fermi-level density of states   3.2 states/eV/f.u.
Space group   No. 123
Crystal system   tetragonal

a b c (Å): 5.4541 5.2518 5.4541
angles (deg): 90.00 90.00 90.00
Each line ends with the local moment (μB).
Atoms (fractional coordinates):
Cr1 0.0000 0.5000 0.0000  3.86
K1 0.5000 0.5000 0.5000  0.00
Ag1 0.0000 0.0000 0.5000  -0.04
Sb1 0.0000 0.0000 0.0000  -0.08
Ag2 0.5000 0.0000 0.0000  0.00

Record 4
## KCr2AgSb (GGA-PBE)

Data for an optimized crystal structure of KCr2AgSb.

## Properties
Raw formation energy   1.00 eV per atom
Theoretical density   4.17 g/cm3
Spin magnetization   8.86 μB/f.u.
Fermi-level density of states   2.7 states/eV/f.u.
Space group   No. 123
Crystal system   tetragonal

a b c (Å): 5.1830 5.5306 5.1830
angles (deg): 90.00 90.00 90.00
Each line ends with the local moment (μB).
Atoms (fractional coordinates):
Ag1 0.0000 0.0000 0.0000  0.12
K1 0.0000 0.5000 0.0000  0.00
Sb1 0.5000 0.5000 0.5000  -0.27
Cr1 0.5000 0.0000 0.0000  4.03
Cr2 0.0000 0.0000 0.5000  4.04

Record 5
## KCrAgSe2 (GGA-PBE)

Data for an optimized crystal structure of KCrAgSe2.

## Properties
Raw formation energy   -0.51 eV per atom
Theoretical density   4.46 g/cm3
Spin magnetization   4.00 μB/f.u.
Fermi-level density of states   1.7 states/eV/f.u.
Space group   No. 67
Crystal system   orthorhombic

a b c (Å): 5.8035 6.3263 7.8982
angles (deg): 113.61 90.00 90.00
Each line ends with the local moment (μB).
Atoms (fractional coordinates):
Se1 0.6825 0.8826 0.7651  -0.04
Se2 0.6825 0.6174 0.2349  -0.04
Se3 0.3175 0.3826 0.7651  -0.04
Ag1 0.0000 0.0000 0.0000  0.04
Cr1 0.5000 0.7500 0.0000  3.52
K1 0.2193 0.7500 0.5000  0.01
Se4 0.3175 0.1174 0.2349  -0.04
K2 0.7807 0.2500 0.5000  0.01
Ag2 0.0000 0.5000 0.0000  0.04
Cr2 0.5000 0.2500 0.0000  3.52

Record 6
## KCrAg2Se4 (GGA-PBE)

Data for an optimized crystal structure of KCrAg2Se4.

## Properties
Raw formation energy   -0.39 eV per atom
Theoretical density   4.83 g/cm3
Spin magnetization   1.03 μB/f.u.
Fermi-level density of states   3.9 states/eV/f.u.
Space group   No. 23
Crystal system   orthorhombic

a b c (Å): 7.0111 6.5965 6.5965
angles (deg): 82.49 57.90 57.90
Each line ends with the local moment (μB).
Atoms (fractional coordinates):
Se1 0.6233 0.5360 0.8409  -0.09
Cr1 0.0000 0.5000 0.5000  1.50
Ag1 0.5000 0.7490 0.2510  -0.04
Se2 0.0002 0.4640 0.1591  -0.09
Se3 0.3767 0.1591 0.4640  -0.09
Ag2 0.5000 0.2510 0.7490  -0.04
Se4 0.9998 0.8409 0.5360  -0.09
K1 0.0000 0.0000 0.0000  0.00

Record 7
## K2CrAgTe4 (GGA-PBE)

Data for an optimized crystal structure of K2CrAgTe4.

## Properties
Raw formation energy   -0.45 eV per atom
Theoretical density   4.48 g/cm3
Spin magnetization   0.97 μB/f.u.
Fermi-level density of states   3.7 states/eV/f.u.
Space group   No. 70
Crystal system   orthorhombic

a b c (Å): 6.4691 7.5923 12.8935
angles (deg): 83.86 75.47 64.78
Each line ends with the local moment (μB).
Atoms (fractional coordinates):
Cr1 0.7500 0.5000 0.5000  1.74
Te1 0.1691 0.2155 0.8802  -0.13
K1 0.9331 0.5000 0.1337  0.00
K2 0.5669 0.5000 0.8663  0.00
Cr2 0.0000 0.0000 0.0000  1.74
Ag1 0.5000 0.0000 0.0000  -0.03
Te2 0.7993 0.7155 0.6198  -0.13
Ag2 0.2500 0.5000 0.5000  -0.03
Te3 0.6155 0.2155 0.1198  -0.13
Te4 0.4853 0.7155 0.3802  -0.13
K3 0.1831 0.0000 0.6337  0.00
K4 0.8169 0.0000 0.3663  0.00
Te5 0.1345 0.2845 0.3802  -0.13
Te6 0.9507 0.7845 0.8802  -0.13
Te7 0.2647 0.7845 0.1198  -0.13
Te8 0.5809 0.2845 0.6198  -0.13

Record 8
## KTiCr2Ag (GGA-PBE)

Data for an optimized crystal structure of KTiCr2Ag.

## Properties
Theoretical density   3.84 g/cm3
Spin magnetization   6.27 μB/f.u.
Fermi-level density of states   6.2 states/eV/f.u.
Space group   No. 123
Crystal system   tetragonal
Electronic total energy   -4.14 eV per atom

a b c (Å): 5.0286 5.1069 5.0286
angles (deg): 90.00 90.00 90.00
Each line ends with the local moment (μB).
Atoms (fractional coordinates):
Cr1 0.5000 0.0000 0.0000  3.98
Ag1 0.0000 0.5000 0.0000  -0.04
Ti1 0.5000 0.5000 0.5000  -1.79
Cr2 0.0000 0.0000 0.5000  3.91
K1 0.0000 0.0000 0.0000  0.15

Question: Fermi-level density of states of number 7 (K2CrAgTe4)?
Answer: 3.7 states/eV/f.u.

Question: The lowest Fermi-level density of states belongs to which entry?
Answer: KCrAgSe2